# 1
Density functional theory data (PBE) for an optimized crystal structure of Pr4CoS2Cl.

a = 7.226 Å, b = 3.993 Å, c = 7.272 Å
α = 90.00°, β = 108.56°, γ = 90.00°
Element x y z (fractional)
Pr 0.237 0.000 0.228
Pr 0.261 0.500 0.767
Pr 0.739 0.500 0.233
Pr 0.763 0.000 0.772
Co 0.000 0.500 0.000
S 0.500 0.000 0.000
S 0.500 0.500 0.500
Cl 0.000 0.000 0.500

## Properties
D(E_F)	6.0	states/eV/f.u.
V	24.86	Å³ per atom
mass density	6029	kg/m³
energy relative to the elements, uncorrected	-10.8	eV/f.u.



# 2
Density functional theory data (PBE) for an optimized crystal structure of TbPm6Th.

a = 5.130 Å, b = 5.130 Å, c = 10.256 Å
α = 90.00°, β = 90.00°, γ = 90.00°
Element x y z (fractional)
Tb 0.000 0.000 0.000
Pm 0.000 0.500 0.253
Pm 0.000 0.500 0.747
Pm 0.500 0.000 0.253
Pm 0.500 0.000 0.747
Pm 0.500 0.500 0.000
Pm 0.500 0.500 0.500
Th 0.000 0.000 0.500

## Properties
formation energy from the elements	0.036	eV per atom
D(E_F)	11.6	states/eV/f.u.
V	33.73	Å³ per atom
mass density	7759	kg/m³